No. 1
A relaxed LaAgO3 crystal, computed with GGA-PBE.

Summary:
Energy relative to the elements, uncorrected (eV/f.u.): -7.4
Density of states at the Fermi level (states/eV per atom): 0.40
Energy (eV per atom): -6.02

Lattice parameters (Å, degrees): 4.573 9.863 6.706 90.00 90.00 90.00
Space group Imma (No. 74)
Inequivalent atoms, fractional coordinates:
La (0.000, 0.000, 0.000) x4
Ag (0.000, 0.250, 0.431) x4
O (0.000, 0.063, 0.629) x8
O (0.000, 0.250, 0.090) x4

***

No. 2
A relaxed SrSmCu2Ge2 crystal, computed with GGA-PBE.

Summary:
Density of states at the Fermi level (states/eV per atom): 0.62
Energy (eV per atom): -4.52
Formation energy from the elements (kcal/mol of atoms): -12.77

Lattice parameters (Å, degrees): 4.2537 4.2537 8.4426 90.00 90.00 120.00
Space group P-3m1 (No. 164)
Inequivalent atoms, fractional coordinates:
Sr (0.0000, 0.0000, 0.0000) x1
Sm (0.0000, 0.0000, 0.5000) x1
Cu (0.3333, 0.6667, 0.7298) x2
Ge (0.3333, 0.6667, 0.2708) x2

***

No. 3
A relaxed Ge2HCl crystal, computed with GGA-PBE.

Summary:
Polymorph energy (0 for the lowest one) (kJ/mol of formula units): 136
Density of states at the Fermi level (states/eV per atom): 0.77
Energy (eV per atom): -2.92

Lattice parameters (Å, degrees): 6.533 6.533 6.533 90.00 90.00 90.00
Space group Fm-3m (No. 225)
Inequivalent atoms, fractional coordinates:
Ge (0.250, 0.250, 0.250) x8
H (0.000, 0.000, 0.000) x4
Cl (0.000, 0.000, 0.500) x4

***

No. 4
A relaxed La2ScTe5 crystal, computed with GGA-PBE.

Summary:
Energy relative to the elements, uncorrected (eV/f.u.): -7.7
Density of states at the Fermi level (states/eV per atom): 0.27
Energy (eV per atom): -4.95

Lattice parameters (Å, degrees): 7.410 7.410 5.098 90.00 90.00 90.00
Space group P4/mmm (No. 123)
Inequivalent atoms, fractional coordinates:
La (0.000, 0.500, 0.000) x2
Sc (0.000, 0.000, 0.500) x1
Te (0.000, 0.000, 0.000) x1
Te (0.274, 0.274, 0.500) x4

***

No. 5
A relaxed Tb4TeP2 crystal, computed with GGA-PBE.

Summary:
Energy relative to the elements, uncorrected (eV/f.u.): -9.1
Density of states at the Fermi level (states/eV per atom): 0.62
Energy (eV per atom): -5.94

Lattice parameters (Å, degrees): 4.0350 4.0350 40.4955 90.00 90.00 120.00
Space group R-3m (No. 166, hexagonal axes)
Inequivalent atoms, fractional coordinates:
Tb (0.0000, 0.0000, 0.1280) x6
Tb (0.0000, 0.0000, 0.2818) x6
Te (0.0000, 0.0000, 0.0000) x3
P (0.0000, 0.0000, 0.4226) x6

***

No. 6
A relaxed Tb6Sb5S crystal, computed with GGA-PBE.

Summary:
Energy relative to the elements, uncorrected (eV/f.u.): -15.3
Density of states at the Fermi level (states/eV per atom): 0.29
Energy (eV per atom): -5.65

Lattice parameters (Å, degrees): 7.517 12.982 7.499 90.00 109.54 90.00
Space group C2/m (No. 12)
Inequivalent atoms, fractional coordinates:
Tb (0.239, 0.000, 0.251) x4
Tb (0.241, 0.161, 0.742) x8
Sb (0.000, 0.171, 0.000) x4
Sb (0.000, 0.334, 0.500) x4
Sb (0.000, 0.500, 0.000) x2
S (0.000, 0.000, 0.500) x2

***

No. 7
A relaxed Hf4TcPd crystal, computed with GGA-PBE.

Summary:
Polymorph energy (0 for the lowest one) (kJ/mol of formula units): 168
Density of states at the Fermi level (states/eV per atom): 1.19
Energy (eV per atom): -9.34
Formation energy from the elements (kcal/mol of atoms): -2.54

Lattice parameters (Å, degrees): 6.463 6.463 6.356 90.00 90.09 90.00
Space group C2/m (No. 12)
Inequivalent atoms, fractional coordinates:
Hf (0.250, 0.250, 0.242) x8
Tc (0.000, 0.000, 0.000) x2
Pd (0.000, 0.500, 0.500) x2

***

No. 8
A relaxed CeCuSi2Tc2 crystal, computed with GGA-PBE.

Summary:
Energy relative to the elements, uncorrected (eV/f.u.): 0.5
Density of states at the Fermi level (states/eV per atom): 1.17
Energy (eV per atom): -6.85

Lattice parameters (Å, degrees): 4.452 4.452 5.253 90.00 90.00 90.00
Space group P4/mmm (No. 123)
Inequivalent atoms, fractional coordinates:
Ce (0.000, 0.000, 0.000) x1
Cu (0.000, 0.000, 0.500) x1
Si (0.000, 0.500, 0.500) x2
Tc (0.500, 0.500, 0.235) x2

***

No. 9
A relaxed Y2OsPt crystal, computed with GGA-PBE.

Summary:
Density of states at the Fermi level (states/eV per atom): 0.97
Energy (eV per atom): -7.61
Formation energy from the elements (kcal/mol of atoms): -1.39

Lattice parameters (Å, degrees): 3.504 3.504 7.736 90.00 90.00 90.00
Space group P4mm (No. 99)
Inequivalent atoms, fractional coordinates:
Y (0.000, 0.000, 0.000) x1
Y (0.500, 0.500, 0.402) x1
Os (0.000, 0.000, 0.638) x1
Pt (0.500, 0.500, 0.774) x1

***

No. 10
A relaxed Sb4MoAu crystal, computed with GGA-PBE.

Summary:
Energy relative to the elements, uncorrected (eV/f.u.): 5.5
Density of states at the Fermi level (states/eV per atom): 0.63
Energy (eV per atom): -4.18

Lattice parameters (Å, degrees): 8.628 8.628 8.628 90.00 90.00 90.00
Space group F-43m (No. 216)
Inequivalent atoms, fractional coordinates:
Sb (0.124, 0.124, 0.124) x16
Mo (0.000, 0.000, 0.500) x4
Au (0.250, 0.250, 0.750) x4

***

No. 11
A relaxed B5C7 crystal, computed with GGA-PBE.

Summary:
Polymorph energy (0 for the lowest one) (kJ/mol of formula units): 118
Density of states at the Fermi level (states/eV per atom): 0.19
Energy (eV per atom): -7.80
Formation energy from the elements (kcal/mol of atoms): 8.30

Lattice parameters (Å, degrees): 2.6243 2.6243 15.0330 90.00 90.00 120.00
Space group P3m1 (No. 156)
Inequivalent atoms, fractional coordinates:
B (0.0000, 0.0000, 0.0000) x1
B (0.0000, 0.0000, 0.1159) x1
B (0.3333, 0.6667, 0.3889) x1
B (0.6667, 0.3333, 0.5113) x1
B (0.6667, 0.3333, 0.9331) x1
C (0.0000, 0.0000, 0.5554) x1
C (0.0000, 0.0000, 0.6553) x1
C (0.3333, 0.6667, 0.1184) x1
C (0.3333, 0.6667, 0.6910) x1
C (0.3333, 0.6667, 0.7933) x1
C (0.6667, 0.3333, 0.4002) x1
C (0.6667, 0.3333, 0.8281) x1

***

No. 12
A relaxed Pm2GeSe crystal, computed with GGA-PBE.

Summary:
Energy relative to the elements, uncorrected (eV/f.u.): -4.0
Polymorph energy (0 for the lowest one) (kJ/mol of formula units): 156
Density of states at the Fermi level (states/eV per atom): 0.59
Energy (eV per atom): -5.41

Lattice parameters (Å, degrees): 7.358 7.358 7.358 90.00 90.00 90.00
Space group Fm-3m (No. 225)
Inequivalent atoms, fractional coordinates:
Pm (0.250, 0.250, 0.250) x8
Ge (0.000, 0.000, 0.000) x4
Se (0.000, 0.000, 0.500) x4